No. 1
Pm2MnSbO6 | PBE+U | relaxed

Computed properties:
Final energy ... -72.7 eV per cell
Symmetry ... P4mm

Cell lengths 5.262, 5.390, 5.390 Å; angles 90.00, 90.00, 90.00 degrees
Last column: magnetic moment on the atom in μB.
Atoms (fractional coordinates):
O 0.737 0.738 0.738  -0.02
Pm 0.012 0.500 0.000  0.01
O 0.737 0.738 0.262  -0.02
O 0.210 0.500 0.500  0.09
O 0.737 0.262 0.262  -0.02
O 0.040 0.000 0.000  -0.04
Sb 0.617 0.000 0.000  0.01
Mn 0.607 0.500 0.500  3.85
Pm 0.012 0.000 0.500  0.01
O 0.737 0.262 0.738  -0.02



No. 2
Pm2MnSbO8 | PBE+U | relaxed

Computed properties:
Final energy ... -84.8 eV per cell
Symmetry ... P-1

Cell lengths 4.922, 4.936, 6.714 Å; angles 90.36, 90.41, 93.43 degrees
Last column: magnetic moment on the atom in μB.
Atoms (fractional coordinates):
O 0.271 0.271 0.457  -0.23
Pm 0.557 0.555 0.255  0.01
Sb 0.000 0.000 0.000  0.03
O 0.729 0.729 0.543  -0.23
Mn 0.000 0.000 0.500  3.42
Pm 0.443 0.445 0.745  0.01
O 0.790 0.134 0.249  -0.18
O 0.866 0.211 0.751  -0.18
O 0.713 0.713 0.963  -0.09
O 0.287 0.287 0.037  -0.09
O 0.134 0.789 0.249  -0.18
O 0.210 0.866 0.751  -0.18



No. 3
Pm2ScMnO6 | PBE+U | relaxed

Computed properties:
Final energy ... -81.6 eV per cell
Symmetry ... P4mm

Cell lengths 4.875, 5.340, 5.340 Å; angles 90.00, 90.00, 90.00 degrees
Last column: magnetic moment on the atom in μB.
Atoms (fractional coordinates):
O 0.718 0.247 0.753  -0.01
O 0.718 0.247 0.247  -0.01
Sc 0.574 0.500 0.500  0.02
Mn 0.618 0.000 0.000  3.78
O 0.718 0.753 0.247  -0.01
Pm 0.012 0.500 0.000  0.01
O 0.169 0.500 0.500  0.00
O 0.189 0.000 0.000  0.10
Pm 0.012 0.000 0.500  0.01
O 0.718 0.753 0.753  -0.01



No. 4
PmMnSeO5 | PBE+U | relaxed

Computed properties:
Final energy ... -107.6 eV per cell
Symmetry ... C2/c

Cell lengths 6.334, 6.334, 8.750 Å; angles 109.55, 109.55, 110.76 degrees
Last column: magnetic moment on the atom in μB.
Atoms (fractional coordinates):
O 0.605 0.011 0.363  -0.02
Mn 0.253 0.747 0.250  3.85
Pm 0.000 0.000 0.500  0.01
O 0.194 0.439 0.581  0.01
O 0.395 0.989 0.637  -0.02
Pm 0.000 0.000 0.000  0.01
O 0.011 0.605 0.863  -0.02
O 0.924 0.076 0.750  -0.04
O 0.561 0.806 0.919  0.01
Se 0.730 0.270 0.250  0.02
O 0.076 0.924 0.250  -0.04
Se 0.270 0.730 0.750  0.02
O 0.439 0.194 0.081  0.01
Mn 0.747 0.253 0.750  3.85
O 0.989 0.395 0.137  -0.02
O 0.806 0.561 0.419  0.01



No. 5
Pm2MnSe2O2 | PBE+U | relaxed

Computed properties:
Final energy ... -50.1 eV per cell
Symmetry ... C2/m

Cell lengths 3.895, 6.137, 6.711 Å; angles 67.24, 73.13, 71.50 degrees
Last column: magnetic moment on the atom in μB.
Atoms (fractional coordinates):
Pm 0.808 0.636 0.747  0.03
Mn 0.000 0.000 0.000  4.55
O 0.800 0.317 0.083  0.02
Se 0.436 0.800 0.327  0.03
Pm 0.192 0.364 0.253  0.03
O 0.200 0.683 0.917  0.02
Se 0.564 0.200 0.673  0.03



No. 6
PmMnSe2O8 | PBE+U | relaxed

Computed properties:
Final energy ... -75.3 eV per cell
Symmetry ... I-4m2

Cell lengths 6.041, 6.041, 6.041 Å; angles 106.70, 106.70, 115.17 degrees
Last column: magnetic moment on the atom in μB.
Atoms (fractional coordinates):
O 0.333 0.509 0.176  0.00
O 0.491 0.667 0.824  0.00
Pm 0.250 0.750 0.500  0.00
O 0.935 0.245 0.310  -0.13
Se 0.500 0.500 0.000  -0.01
O 0.375 0.065 0.310  -0.13
O 0.755 0.065 0.690  -0.13
Mn 0.000 0.000 0.000  4.61
O 0.935 0.625 0.690  -0.13
Se 0.750 0.250 0.500  -0.08
O 0.333 0.157 0.824  0.00
O 0.843 0.667 0.176  0.00



No. 7
Pm2MnSiO6 | PBE+U | relaxed

Computed properties:
Final energy ... -80.0 eV per cell
Symmetry ... P4mm

Cell lengths 4.632, 5.258, 5.258 Å; angles 90.00, 90.00, 90.00 degrees
Last column: magnetic moment on the atom in μB.
Atoms (fractional coordinates):
O 0.137 0.500 0.500  0.04
Mn 0.577 0.500 0.500  4.59
O 0.710 0.227 0.227  0.03
O 0.710 0.227 0.773  0.03
Pm 0.023 0.000 0.500  0.01
O 0.710 0.773 0.773  0.03
Pm 0.023 0.500 0.000  0.01
Si 0.604 0.000 0.000  0.02
O 0.241 0.000 0.000  0.00
O 0.710 0.773 0.227  0.03



No. 8
SrPm4Mn3O12 | PBE+U | relaxed

Computed properties:
Final energy ... -151.6 eV per cell
Symmetry ... Im-3

Cell lengths 7.283, 7.283, 7.283 Å; angles 109.47, 109.47, 109.47 degrees
Last column: magnetic moment on the atom in μB.
Atoms (fractional coordinates):
O 0.152 0.479 0.327  0.06
Pm 0.000 0.000 0.500  0.00
O 0.673 0.152 0.826  0.06
O 0.673 0.848 0.521  0.06
O 0.479 0.327 0.152  0.06
O 0.327 0.152 0.479  0.06
Mn 0.500 0.000 0.500  3.86
O 0.848 0.521 0.673  0.06
Pm 0.000 0.500 0.000  0.00
O 0.826 0.673 0.152  0.06
Mn 0.000 0.500 0.500  3.86
O 0.174 0.327 0.848  0.06
Pm 0.500 0.000 0.000  0.00
Pm 0.500 0.500 0.500  0.00
O 0.152 0.826 0.673  0.06
O 0.521 0.673 0.848  0.06
Mn 0.500 0.500 0.000  3.86
Sr 0.000 0.000 0.000  0.01
O 0.327 0.848 0.174  0.06
O 0.848 0.174 0.327  0.06



No. 9
SrPmMnO4 | PBE+U | relaxed

Computed properties:
Final energy ... -101.2 eV per cell
Symmetry ... P2_1/m

Cell lengths 5.922, 5.751, 7.046 Å; angles 90.00, 109.91, 90.00 degrees
Last column: magnetic moment on the atom in μB.
Atoms (fractional coordinates):
O 0.987 0.017 0.722  -0.04
Mn 0.758 0.250 0.694  3.76
O 0.524 0.250 0.417  0.07
Sr 0.299 0.250 0.063  0.01
O 0.463 0.750 0.156  0.03
O 0.537 0.250 0.844  0.03
Sr 0.701 0.750 0.937  0.01
Pm 0.793 0.750 0.459  0.02
O 0.013 0.517 0.278  -0.04
O 0.476 0.750 0.583  0.07
Pm 0.207 0.250 0.541  0.02
O 0.013 0.983 0.278  -0.04
O 0.987 0.483 0.722  -0.04
Mn 0.242 0.750 0.306  3.76



No. 10
PmTa2MnO8 | PBE+U | relaxed

Computed properties:
Final energy ... -107.7 eV per cell
Symmetry ... C2/m

Cell lengths 4.973, 4.968, 6.397 Å; angles 89.62, 89.63, 84.99 degrees
Last column: magnetic moment on the atom in μB.
Atoms (fractional coordinates):
O 0.672 0.673 0.491  0.00
Mn 0.000 0.000 0.000  3.87
O 0.789 0.202 0.216  -0.03
O 0.328 0.327 0.509  0.00
O 0.202 0.788 0.216  -0.03
O 0.798 0.212 0.784  -0.03
O 0.321 0.320 0.000  0.02
O 0.211 0.798 0.784  -0.03
Ta 0.481 0.481 0.762  0.03
Pm 0.000 0.000 0.500  0.00
O 0.679 0.680 0.000  0.02
Ta 0.519 0.519 0.238  0.03



No. 11
Pm2TaMnO6 | PBE+U | relaxed

Computed properties:
Final energy ... -85.2 eV per cell
Symmetry ... P4mm

Cell lengths 5.241, 5.271, 5.271 Å; angles 90.00, 90.00, 90.00 degrees
Last column: magnetic moment on the atom in μB.
Atoms (fractional coordinates):
Pm 0.010 0.500 0.000  -0.10
O 0.735 0.241 0.241  0.01
O 0.210 0.000 0.000  0.00
Mn 0.543 0.500 0.500  4.54
O 0.735 0.759 0.241  0.01
Pm 0.010 0.000 0.500  -0.10
O 0.157 0.500 0.500  0.01
O 0.735 0.759 0.759  0.01
O 0.735 0.241 0.759  0.01
Ta 0.579 0.000 0.000  -0.15



No. 12
Pm2MnTcO8 | PBE+U | relaxed

Computed properties:
Final energy ... -93.2 eV per cell
Symmetry ... P-1

Cell lengths 5.157, 5.320, 6.566 Å; angles 92.60, 81.51, 103.24 degrees
Last column: magnetic moment on the atom in μB.
Atoms (fractional coordinates):
O 0.867 0.123 0.272  -0.03
Pm 0.354 0.556 0.767  0.01
O 0.710 0.708 0.518  -0.01
O 0.895 0.260 0.876  0.00
O 0.105 0.740 0.124  0.00
Mn 0.000 0.000 0.500  3.84
O 0.133 0.877 0.728  -0.03
O 0.337 0.231 0.011  0.00
O 0.290 0.292 0.482  -0.01
O 0.663 0.769 0.989  0.00
Tc 0.000 0.000 0.000  0.04
Pm 0.646 0.444 0.233  0.01



No. 13
PmMnTcO6 | PBE+U | relaxed

Computed properties:
Final energy ... -138.9 eV per cell
Symmetry ... P4_2nm

Cell lengths 4.956, 4.956, 9.809 Å; angles 90.00, 90.00, 90.00 degrees
Last column: magnetic moment on the atom in μB.
Atoms (fractional coordinates):
O 0.772 0.228 0.842  -0.01
O 0.676 0.676 0.685  0.02
O 0.824 0.176 0.185  0.02
O 0.324 0.324 0.685  0.02
O 0.806 0.194 0.471  0.01
O 0.228 0.772 0.842  -0.01
Pm 0.000 0.000 0.667  0.01
Mn 0.000 0.000 0.001  4.52
O 0.306 0.306 0.971  0.01
Tc 0.000 0.000 0.336  0.20
O 0.194 0.806 0.471  0.01
O 0.728 0.728 0.342  -0.01
Pm 0.500 0.500 0.167  0.01
Mn 0.500 0.500 0.501  4.52
O 0.272 0.272 0.342  -0.01
O 0.694 0.694 0.971  0.01
Tc 0.500 0.500 0.836  0.20
O 0.176 0.824 0.185  0.02



No. 14
Pm2MnTeO8 | PBE+U | relaxed

Computed properties:
Final energy ... -83.9 eV per cell
Symmetry ... P-1

Cell lengths 4.635, 5.141, 7.029 Å; angles 85.79, 91.18, 95.27 degrees
Last column: magnetic moment on the atom in μB.
Atoms (fractional coordinates):
Pm 0.407 0.490 0.752  0.01
O 0.288 0.280 0.479  -0.15
O 0.871 0.282 0.828  -0.09
O 0.842 0.119 0.243  -0.13
O 0.712 0.720 0.521  -0.15
O 0.158 0.881 0.757  -0.13
Pm 0.593 0.510 0.248  0.01
O 0.129 0.718 0.172  -0.09
O 0.657 0.771 0.964  -0.11
Mn 0.000 0.000 0.500  3.85
O 0.343 0.229 0.036  -0.11
Te 0.000 0.000 0.000  0.02



No. 15
PmMnTe2O8 | PBE+U | relaxed

Computed properties:
Final energy ... -75.8 eV per cell
Symmetry ... I-4m2

Cell lengths 6.226, 6.226, 6.226 Å; angles 107.41, 107.41, 113.67 degrees
Last column: magnetic moment on the atom in μB.
Atoms (fractional coordinates):
O 0.940 0.249 0.309  -0.03
O 0.751 0.060 0.691  -0.03
Te 0.750 0.250 0.500  -0.02
O 0.312 0.127 0.815  0.00
O 0.368 0.060 0.309  -0.03
O 0.504 0.688 0.815  0.00
Te 0.500 0.500 0.000  0.00
O 0.873 0.688 0.185  0.00
O 0.312 0.496 0.185  0.00
O 0.940 0.632 0.691  -0.03
Mn 0.000 0.000 0.000  4.66
Pm 0.250 0.750 0.500  0.01



No. 16
PmThMn2O8 | PBE+U | relaxed

Computed properties:
Final energy ... -92.9 eV per cell
Symmetry ... I-4

Cell lengths 5.201, 5.201, 6.881 Å; angles 112.21, 112.21, 90.00 degrees
Last column: magnetic moment on the atom in μB.
Atoms (fractional coordinates):
O 0.052 0.974 0.650  -0.11
Pm 0.000 0.000 0.000  0.03
Mn 0.250 0.750 0.500  3.29
O 0.176 0.567 0.845  -0.05
O 0.324 0.948 0.350  -0.11
O 0.433 0.331 0.155  -0.05
Mn 0.500 0.500 0.000  2.18
Th 0.750 0.250 0.500  0.05
O 0.598 0.676 0.650  -0.11
O 0.669 0.279 0.845  -0.05
O 0.721 0.824 0.155  -0.05
O 0.026 0.402 0.350  -0.11



No. 17
PmTiMn2O6 | PBE+U | relaxed

Computed properties:
Final energy ... -78.7 eV per cell
Symmetry ... P4mm

Cell lengths 5.086, 5.540, 5.540 Å; angles 90.00, 90.00, 90.00 degrees
Last column: magnetic moment on the atom in μB.
Atoms (fractional coordinates):
Ti 0.620 0.000 0.000  0.03
Pm 0.557 0.500 0.500  0.03
O 0.138 0.500 0.500  0.22
O 0.282 0.000 0.000  0.00
O 0.757 0.235 0.235  -0.04
O 0.757 0.765 0.765  -0.04
Mn 0.911 0.500 0.000  4.47
O 0.757 0.235 0.765  -0.04
O 0.757 0.765 0.235  -0.04
Mn 0.911 0.000 0.500  4.47



No. 18
PmTiMnO6 | PBE+U | relaxed

Computed properties:
Final energy ... -139.8 eV per cell
Symmetry ... P4_2nm

Cell lengths 4.839, 4.839, 9.471 Å; angles 90.00, 90.00, 90.00 degrees
Last column: magnetic moment on the atom in μB.
Atoms (fractional coordinates):
O 0.717 0.717 0.305  0.20
Ti 0.500 0.500 0.165  -0.03
O 0.217 0.783 0.805  0.20
O 0.713 0.713 0.696  0.19
O 0.283 0.283 0.305  0.20
Ti 0.000 0.000 0.665  -0.03
Pm 0.000 0.000 0.004  0.00
O 0.330 0.330 0.996  -0.02
O 0.830 0.170 0.496  -0.02
O 0.670 0.670 0.996  -0.02
O 0.783 0.217 0.805  0.20
O 0.213 0.787 0.196  0.19
Pm 0.500 0.500 0.504  0.00
O 0.787 0.213 0.196  0.19
Mn 0.000 0.000 0.336  3.06
O 0.170 0.830 0.496  -0.02
Mn 0.500 0.500 0.836  3.06
O 0.287 0.287 0.696  0.19



No. 19
PmMn2TlO4 | PBE+U | relaxed

Computed properties:
Final energy ... -56.5 eV per cell
Symmetry ... P4/mmm

Cell lengths 4.014, 4.014, 7.779 Å; angles 90.00, 90.00, 90.00 degrees
Last column: magnetic moment on the atom in μB.
Atoms (fractional coordinates):
Tl 0.000 0.000 0.500  -0.04
O 0.000 0.500 0.812  -0.01
Mn 0.500 0.500 0.239  4.36
O 0.000 0.500 0.188  -0.01
Mn 0.500 0.500 0.761  4.36
O 0.500 0.000 0.188  -0.01
O 0.500 0.000 0.812  -0.01
Pm 0.000 0.000 0.000  0.01



No. 20
PmMn2TlO6 | PBE+U | relaxed

Computed properties:
Final energy ... -69.7 eV per cell
Symmetry ... P1

Cell lengths 5.672, 5.531, 5.547 Å; angles 59.51, 59.23, 59.12 degrees
Last column: magnetic moment on the atom in μB.
Atoms (fractional coordinates):
O 0.673 0.265 0.202  -0.03
O 0.743 0.183 0.711  -0.04
O 0.290 0.862 0.192  -0.03
Pm 0.755 0.767 0.701  0.02
O 0.168 0.350 0.693  -0.04
O 0.350 0.767 0.701  -0.05
O 0.877 0.669 0.210  -0.03
Mn 0.512 0.514 0.459  3.96
Tl 0.275 0.266 0.202  0.05
Mn 0.018 0.019 0.944  3.96